Density functional theory data (PBE) for Rb2PaSb3O12 after structural relaxation.

Formation energy without anion corrections = -1.78 eV/atom
Crystal system = trigonal
DOS(E_F) = 0.562 states/eV per atom

Cell: 7.731 7.731 7.731 Å, 57.47 57.47 57.47°
Atoms (fractional coordinates):
Rb1 0.112 0.112 0.112
Rb2 0.888 0.888 0.888
Pa1 0.500 0.500 0.500
Sb1 0.000 0.500 0.500
Sb2 0.500 0.000 0.500
Sb3 0.500 0.500 0.000
O1 0.164 0.569 0.569
O2 0.180 0.180 0.580
O3 0.180 0.580 0.180
O4 0.420 0.820 0.820
O5 0.431 0.431 0.836
O6 0.431 0.836 0.431
O7 0.569 0.164 0.569
O8 0.569 0.569 0.164
O9 0.580 0.180 0.180
O10 0.820 0.420 0.820
O11 0.820 0.820 0.420
O12 0.836 0.431 0.431

Density functional theory data (PBE) for HoErTmHg after structural relaxation.

Total energy = -0.259 Ry per atom
Crystal system = cubic
DOS(E_F) = 1.309 states/eV per atom

Cell: 5.355 5.355 5.355 Å, 60.00 60.00 60.00°
Atoms (fractional coordinates):
Ho1 0.000 0.000 0.000
Er1 0.500 0.500 0.500
Tm1 0.250 0.250 0.250
Hg1 0.750 0.750 0.750

Density functional theory data (PBE) for Nd2Pu3ScSe6 after structural relaxation.

Formation energy without anion corrections = -1.64 eV/atom
Crystal system = monoclinic
DOS(E_F) = 2.464 states/eV per atom

Cell: 9.226 9.226 8.283 Å, 102.46 102.46 25.82°
Atoms (fractional coordinates):
Nd1 0.165 0.165 0.335
Nd2 0.835 0.835 0.665
Pu1 0.170 0.170 0.836
Pu2 0.500 0.500 0.500
Pu3 0.830 0.830 0.164
Sc1 0.500 0.500 0.000
Se1 0.003 0.003 0.765
Se2 0.334 0.334 0.410
Se3 0.339 0.339 0.924
Se4 0.661 0.661 0.076
Se5 0.666 0.666 0.590
Se6 0.997 0.997 0.235

Density functional theory data (PBE) for SmCoW after structural relaxation.

Total energy = -0.602 Ry per atom
Crystal system = orthorhombic
DOS(E_F) = 0.887 states/eV per atom

Cell: 3.313 4.295 8.083 Å, 90.00 90.00 90.00°
Atoms (fractional coordinates):
Sm1 0.250 0.250 0.160
Sm2 0.750 0.750 0.840
Co1 0.250 0.250 0.735
Co2 0.750 0.750 0.265
W1 0.250 0.750 0.490
W2 0.750 0.250 0.510